[1]
! Co23Ni6Rh | Alexandria | GGA-PBE | relaxed; values from VASP
&SYSTEM
  ibrav = 0, nat = 30, ntyp = 3
/
ATOMIC_SPECIES
Co 58.93 Co.upf
Ni 58.69 Ni.upf
Rh 102.91 Rh.upf
CELL_PARAMETERS angstrom
0.000 5.565 5.565
5.565 0.000 5.565
5.565 5.565 0.000
ATOMIC_POSITIONS angstrom
Co 0.000 0.000 0.000
Co 2.782 2.782 0.000
Co 2.782 0.000 2.782
Co 5.565 2.782 2.782
Co 7.116 4.014 4.014
Co 1.433 1.433 1.433
Co 4.132 4.132 1.433
Co 4.132 1.433 4.132
Co 4.014 4.014 4.014
Co 7.116 7.116 4.014
Co 7.116 4.014 7.116
Co 9.697 6.998 6.998
Co 0.000 2.782 2.782
Co 2.782 5.565 2.782
Co 2.782 2.782 5.565
Co 1.433 4.132 4.132
Co 4.014 7.116 4.014
Co 4.014 4.014 7.116
Co 7.116 7.116 7.116
Co 6.998 9.697 6.998
Co 6.998 6.998 9.697
Co 9.697 9.697 9.697
Co 4.014 7.116 7.116
Ni 5.565 5.565 2.870
Ni 5.565 2.870 5.565
Ni 8.260 5.565 5.565
Ni 2.870 5.565 5.565
Ni 5.565 8.260 5.565
Ni 5.565 5.565 8.260
Rh 5.565 5.565 5.565
! - Space-group type: No. 225
! - VASP energy: -200.7 eV for the cell shown
! - Calculated volume: 345 Å³ per cell


[2]
! CoNi3Rh3 | Alexandria | GGA-PBE | relaxed; values from VASP
&SYSTEM
  ibrav = 0, nat = 14, ntyp = 3
/
ATOMIC_SPECIES
Co 58.93 Co.upf
Ni 58.69 Ni.upf
Rh 102.91 Rh.upf
CELL_PARAMETERS angstrom
2.820 1.628 6.730
-2.820 1.628 6.730
0.000 -3.256 6.730
ATOMIC_POSITIONS angstrom
Co 0.000 0.000 4.124
Co 0.000 0.000 16.066
Ni -0.494 -1.287 6.167
Ni -0.868 1.071 6.167
Ni -1.362 -0.216 14.023
Ni 1.362 0.216 6.167
Ni 0.868 -1.071 14.023
Ni 0.494 1.287 14.023
Rh -0.320 -1.586 8.976
Rh -1.533 -0.516 11.214
Rh -1.214 1.070 8.976
Rh 1.214 -1.070 11.214
Rh 1.533 0.516 8.976
Rh 0.320 1.586 11.214
! - Space-group type: No. 148
! - VASP energy: -89.4 eV for the cell shown
! - Calculated volume: 185 Å³ per cell


[3]
! CoNi6Rh2 | Alexandria | GGA-PBE | relaxed; values from VASP
&SYSTEM
  ibrav = 0, nat = 9, ntyp = 3
/
ATOMIC_SPECIES
Co 58.93 Co.upf
Ni 58.69 Ni.upf
Rh 102.91 Rh.upf
CELL_PARAMETERS angstrom
4.079 -1.796 0.000
4.079 1.796 0.000
-2.531 0.000 7.227
ATOMIC_POSITIONS angstrom
Co 0.000 0.000 0.000
Ni -1.685 0.000 4.912
Ni 2.433 0.000 0.764
Ni 0.779 0.000 5.697
Ni 4.848 0.000 1.531
Ni 3.194 0.000 6.463
Ni 7.313 0.000 2.315
Rh 1.605 0.000 3.189
Rh 4.022 0.000 4.038
! - Space-group type: No. 12
! - VASP energy: -56.3 eV for the cell shown
! - Calculated volume: 106 Å³ per cell


[4]
! Co2NiRh | Alexandria | GGA-PBE | relaxed; values from VASP
&SYSTEM
  ibrav = 0, nat = 4, ntyp = 3
/
ATOMIC_SPECIES
Co 58.93 Co.upf
Ni 58.69 Ni.upf
Rh 102.91 Rh.upf
CELL_PARAMETERS angstrom
2.589 0.000 0.000
0.000 2.589 0.000
0.000 0.000 7.136
ATOMIC_POSITIONS angstrom
Co 0.000 0.000 1.699
Co 0.000 0.000 5.437
Ni 1.295 1.295 0.000
Rh 1.295 1.295 3.568
! - Space-group type: No. 123
! - VASP energy: -27.1 eV for the cell shown
! - Calculated volume: 48 Å³ per cell


[5]
! Co2Ni3Rh2 | Alexandria | GGA-PBE | relaxed; values from VASP
&SYSTEM
  ibrav = 0, nat = 7, ntyp = 3
/
ATOMIC_SPECIES
Co 58.93 Co.upf
Ni 58.69 Ni.upf
Rh 102.91 Rh.upf
CELL_PARAMETERS angstrom
4.104 -1.814 0.000
4.104 1.814 0.000
-0.798 0.000 5.670
ATOMIC_POSITIONS angstrom
Co 0.411 0.000 1.258
Co 7.000 0.000 4.412
Ni 1.252 0.000 3.582
Ni 3.705 0.000 2.835
Ni 6.159 0.000 2.088
Rh 2.887 0.000 0.442
Rh 4.524 0.000 5.228
! - Space-group type: No. 12
! - VASP energy: -46.0 eV for the cell shown
! - Calculated volume: 84 Å³ per cell


[6]
! CoNi6Rh3 | Alexandria | GGA-PBE | relaxed; values from VASP
&SYSTEM
  ibrav = 0, nat = 20, ntyp = 3
/
ATOMIC_SPECIES
Co 58.93 Co.upf
Ni 58.69 Ni.upf
Rh 102.91 Rh.upf
CELL_PARAMETERS angstrom
4.475 -4.296 0.000
4.475 4.296 0.000
0.000 0.000 6.644
ATOMIC_POSITIONS angstrom
Co 4.475 3.189 3.322
Co 4.475 -3.189 0.000
Ni 2.066 1.835 1.393
Ni 1.189 0.439 4.640
Ni 1.189 -0.439 1.318
Ni 4.475 1.438 1.631
Ni 4.475 1.071 4.224
Ni 2.066 -1.835 4.715
Ni 6.884 1.835 1.393
Ni 4.475 -1.071 0.902
Ni 4.475 -1.438 4.953
Ni 7.762 0.439 4.640
Ni 7.762 -0.439 1.318
Ni 6.884 -1.835 4.715
Rh 4.475 2.802 6.022
Rh 3.045 0.411 6.230
Rh 3.045 -0.411 2.908
Rh 5.906 0.411 6.230
Rh 5.906 -0.411 2.908
Rh 4.475 -2.802 2.700
! - Space-group type: No. 36
! - VASP energy: -123.0 eV for the cell shown
! - Calculated volume: 255 Å³ per cell


[7]
! CoNiRh4 | Alexandria | GGA-PBE | relaxed; values from VASP
&SYSTEM
  ibrav = 0, nat = 6, ntyp = 3
/
ATOMIC_SPECIES
Co 58.93 Co.upf
Ni 58.69 Ni.upf
Rh 102.91 Rh.upf
CELL_PARAMETERS angstrom
0.000 3.567 3.567
3.567 0.000 3.567
3.567 3.567 0.000
ATOMIC_POSITIONS angstrom
Co 0.000 0.000 0.000
Ni 5.351 5.351 5.351
Rh 2.676 2.676 2.676
Rh 4.459 4.459 2.676
Rh 4.459 2.676 4.459
Rh 2.676 4.459 4.459
! - Space-group type: No. 216
! - VASP energy: -38.9 eV for the cell shown
! - Calculated volume: 91 Å³ per cell


[8]
! Co5Ni3Rh3 | Alexandria | GGA-PBE | relaxed; values from VASP
&SYSTEM
  ibrav = 0, nat = 11, ntyp = 3
/
ATOMIC_SPECIES
Co 58.93 Co.upf
Ni 58.69 Ni.upf
Rh 102.91 Rh.upf
CELL_PARAMETERS angstrom
8.128 0.000 0.000
-4.064 7.039 0.000
0.000 0.000 2.567
ATOMIC_POSITIONS angstrom
Co -2.717 4.707 0.000
Co 1.347 2.333 0.000
Co 0.000 4.693 0.000
Co 4.064 2.346 0.000
Co 5.435 0.000 0.000
Ni -0.653 1.131 0.000
Ni 1.306 0.000 0.000
Ni 3.411 5.908 0.000
Rh -1.683 2.915 1.283
Rh 3.366 0.000 1.283
Rh 2.381 4.125 1.283
! - Space-group type: No. 189
! - VASP energy: -69.5 eV for the cell shown
! - Calculated volume: 147 Å³ per cell


[9]
! Co2Ni15Rh2 | Alexandria | GGA-PBE | relaxed; values from VASP
&SYSTEM
  ibrav = 0, nat = 19, ntyp = 3
/
ATOMIC_SPECIES
Co 58.93 Co.upf
Ni 58.69 Ni.upf
Rh 102.91 Rh.upf
CELL_PARAMETERS angstrom
4.032 2.328 4.102
-4.032 2.328 4.102
0.000 -4.656 4.102
ATOMIC_POSITIONS angstrom
Co 0.000 0.000 2.290
Co 0.000 0.000 10.017
Ni -2.016 -1.164 4.102
Ni 0.000 -2.384 3.981
Ni -2.065 1.192 3.981
Ni -1.290 -2.235 6.154
Ni -2.581 0.000 6.154
Ni -2.065 -1.192 8.326
Ni -2.016 1.164 8.205
Ni 1.290 -2.235 6.154
Ni 0.000 2.328 4.102
Ni -1.290 2.235 6.154
Ni 2.065 1.192 3.981
Ni 2.581 0.000 6.154
Ni 1.290 2.235 6.154
Ni 2.065 -1.192 8.326
Ni 0.000 2.384 8.326
Rh 0.000 0.000 4.926
Rh 0.000 0.000 7.381
! - Space-group type: No. 166
! - VASP energy: -110.8 eV for the cell shown
! - Calculated volume: 231 Å³ per cell


[10]
! Co2Ni2Rh | Alexandria | GGA-PBE | relaxed; values from VASP
&SYSTEM
  ibrav = 0, nat = 10, ntyp = 3
/
ATOMIC_SPECIES
Co 58.93 Co.upf
Ni 58.69 Ni.upf
Rh 102.91 Rh.upf
CELL_PARAMETERS angstrom
6.785 0.000 0.000
0.000 6.785 0.000
0.000 0.000 2.594
ATOMIC_POSITIONS angstrom
Co 1.176 2.216 0.000
Co 2.216 5.609 0.000
Co 4.568 1.176 0.000
Co 5.609 4.568 0.000
Ni 0.840 4.232 1.297
Ni 2.553 0.840 1.297
Ni 4.232 5.945 1.297
Ni 5.945 2.553 1.297
Rh 0.000 0.000 1.297
Rh 3.392 3.392 1.297
! - Space-group type: No. 127
! - VASP energy: -64.8 eV for the cell shown
! - Calculated volume: 119 Å³ per cell


[11]
! CoNi5Rh | Alexandria | GGA-PBE | relaxed; values from VASP
&SYSTEM
  ibrav = 0, nat = 7, ntyp = 3
/
ATOMIC_SPECIES
Co 58.93 Co.upf
Ni 58.69 Ni.upf
Rh 102.91 Rh.upf
CELL_PARAMETERS angstrom
2.476 -3.718 0.000
2.476 3.718 0.000
-1.470 0.000 4.643
ATOMIC_POSITIONS angstrom
Co 0.000 0.000 0.000
Ni 0.291 1.829 3.291
Ni 3.110 1.555 0.766
Ni 0.291 -1.829 3.291
Ni 3.110 -1.555 0.766
Ni 4.038 0.000 2.315
Rh 1.541 0.000 2.026
! - Space-group type: No. 8
! - VASP energy: -41.9 eV for the cell shown
! - Calculated volume: 85 Å³ per cell


[12]
! CoNiRh | Alexandria | GGA-PBE | relaxed; values from VASP
&SYSTEM
  ibrav = 0, nat = 3, ntyp = 3
/
ATOMIC_SPECIES
Co 58.93 Co.upf
Ni 58.69 Ni.upf
Rh 102.91 Rh.upf
CELL_PARAMETERS angstrom
0.000 2.778 2.778
2.778 0.000 2.778
2.778 2.778 0.000
ATOMIC_POSITIONS angstrom
Co 0.000 0.000 0.000
Ni 1.389 1.389 1.389
Rh 4.167 4.167 4.167
! - Space-group type: No. 216
! - VASP energy: -19.0 eV for the cell shown
! - Calculated volume: 43 Å³ per cell